A relaxed Ti2InNi9 crystal. Source: the Alexandria database, functional PBE.

a = 3.6518 Å, b = 3.6518 Å, c = 10.9571 Å
α = 90.00°, β = 90.00°, γ = 90.00°
With the nearest neighbours (Å) after each atom.
Space group P4/mmm (No. 123)
Inequivalent atoms, fractional coordinates:
Ti (0.0000, 0.0000, 0.1646) [2 per cell]  12 Ni 2.51-2.58
In (0.0000, 0.0000, 0.5000) [1 per cell]  12 Ni 2.58-2.67
Ni (0.0000, 0.5000, 0.0000) [2 per cell]  8 Ni 2.55-2.58, 4 Ti 2.57
Ni (0.0000, 0.5000, 0.3221) [4 per cell]  2 Ti 2.51, 8 Ni 2.53-2.67, 2 In 2.67
Ni (0.5000, 0.5000, 0.1621) [2 per cell]  8 Ni 2.53-2.55, 4 Ti 2.58
Ni (0.5000, 0.5000, 0.5000) [1 per cell]  4 In 2.58, 8 Ni 2.67

Values from the calculation:
DFT total energy = -6.2281 eV/atom
energy of formation = -0.348 eV per atom
ρ = 8396 kg/m3